Record 1
This record from the Alexandria database describes a relaxed Y2SiPd crystal. The functional is PBE.

The value obtained for the formation energy (no corrections) is 0.4054 eV/atom.

The space group is Immm (No. 71) and the conventional cell measures 3.289, 5.396 and 11.178 Å, with angles of 90.00, 90.00 and 90.00 degrees. The inequivalent atoms are Y at (0.000, 0.000, 0.244), Si at (0.000, 0.000, 0.500) and Pd at (0.000, 0.000, 0.000).

Record 2
This record from the Alexandria database describes a relaxed BaLiNb2O7 crystal. The functional is PBE.

The value obtained for the formation energy (no corrections) is -2.4129 eV/atom.

The space group is I-4m2 (No. 119) and the conventional cell measures 3.960, 3.960 and 20.620 Å, with angles of 90.00, 90.00 and 90.00 degrees. The inequivalent atoms are Ba at (0.000, 0.000, 0.000), Li at (0.000, 0.500, 0.250), Nb at (0.000, 0.000, 0.379), O at (0.000, 0.000, 0.291), O at (0.000, 0.000, 0.500), O at (0.000, 0.500, 0.103) and O at (0.000, 0.500, 0.600).

Record 3
This record from the Alexandria database describes a relaxed CsMn2InBr6 crystal. The functional is PBE.

The value obtained for the formation energy (no corrections) is -0.9695 eV/atom.

The space group is C2/c (No. 15) and the conventional cell measures 15.005, 14.052 and 7.885 Å, with angles of 90.00, 104.12 and 90.00 degrees. The inequivalent atoms are Cs at (0.000, 0.187, 0.250), Mn at (0.214, 0.086, 0.763), In at (0.000, 0.397, 0.750), Br at (0.116, 0.417, 0.163), Br at (0.141, 0.027, 0.009) and Br at (0.153, 0.246, 0.677).

Record 4
This record from the Alexandria database describes a relaxed BeCoSe2N crystal. The functional is PBE.

For the energy above the lowest structure with this stoichiometry, the calculation gives 0 meV/atom. The value obtained for the formation energy (no corrections) is 0.5971 eV/atom.

The space group is P4/mmm (No. 123) and the conventional cell measures 4.884, 4.884 and 3.341 Å, with angles of 90.00, 90.00 and 90.00 degrees. The inequivalent atoms are Be at (0.000, 0.000, 0.000), Co at (0.500, 0.500, 0.500), Se at (0.000, 0.500, 0.500) and N at (0.500, 0.500, 0.000).